Entry 1:
Below is a geometry-optimized DyScZnPt structure, with properties calculated at the PBE level.

Properties
Fermi-level density of states = 0.89 states/eV/atom
ΔE_f = -75.40 kJ/mol of atoms

```
data_DyScZnPt
_chemical_formula_sum 'Dy4 Sc4 Zn4 Pt4'
_symmetry_space_group_name_H-M 'F -4 3 m'
_symmetry_Int_Tables_number 216
_symmetry_space_group_name_Hall 'F -4 2 3'
_cell_length_a 6.856
_cell_length_b 6.856
_cell_length_c 6.856
_cell_angle_alpha 90.00
_cell_angle_beta 90.00
_cell_angle_gamma 90.00
loop_
_atom_site_label
_atom_site_type_symbol
_atom_site_fract_x
_atom_site_fract_y
_atom_site_fract_z
Dy1 Dy 0.000 0.000 0.000
Sc1 Sc 0.000 0.000 0.500
Zn1 Zn 0.250 0.250 0.750
Pt1 Pt 0.250 0.250 0.250
```


Entry 2:
Below is a geometry-optimized Tb4Pt2Pb structure, with properties calculated at the PBE level.

Properties
Fermi-level density of states = 0.72 states/eV/atom
ΔE_f = -77.49 kJ/mol of atoms

```
data_Tb4Pt2Pb
_chemical_formula_sum 'Tb12 Pt6 Pb3'
_symmetry_space_group_name_H-M 'R -3 m'
_symmetry_Int_Tables_number 166
_symmetry_space_group_name_Hall '-R 3 2"'
_cell_length_a 4.6587
_cell_length_b 4.6587
_cell_length_c 31.0799
_cell_angle_alpha 90.00
_cell_angle_beta 90.00
_cell_angle_gamma 120.00
loop_
_atom_site_label
_atom_site_type_symbol
_atom_site_fract_x
_atom_site_fract_y
_atom_site_fract_z
Tb1 Tb 0.0000 0.0000 0.1126
Tb2 Tb 0.0000 0.0000 0.2993
Pt1 Pt 0.0000 0.0000 0.3974
Pb1 Pb 0.0000 0.0000 0.5000
```


Entry 3:
Below is a geometry-optimized Sr3Li2F8 structure, with properties calculated at the PBE level.

Properties
Fermi-level density of states = 0.00 states/eV/atom
raw formation energy = -3499 meV/atom

```
data_Sr3Li2F8
_chemical_formula_sum 'Sr9 Li6 F24'
_symmetry_space_group_name_H-M 'R -3 m'
_symmetry_Int_Tables_number 166
_symmetry_space_group_name_Hall '-R 3 2"'
_cell_length_a 5.6256
_cell_length_b 5.6256
_cell_length_c 20.0573
_cell_angle_alpha 90.00
_cell_angle_beta 90.00
_cell_angle_gamma 120.00
loop_
_atom_site_label
_atom_site_type_symbol
_atom_site_fract_x
_atom_site_fract_y
_atom_site_fract_z
Sr1 Sr 0.0000 0.0000 0.0000
Sr2 Sr 0.0000 0.0000 0.2032
Li1 Li 0.0000 0.0000 0.4080
F1 F 0.0000 0.0000 0.3180
F2 F 0.0190 0.5095 0.7709
```


Entry 4:
Below is a geometry-optimized CaBeCl2 structure, with properties calculated at the PBE level.

Properties
Fermi-level density of states = 0.08 states/eV/atom
raw formation energy = -914 meV/atom
offset from the most stable computed form = 137 meV per atom

```
data_CaBeCl2
_chemical_formula_sum 'Ca2 Be2 Cl4'
_symmetry_space_group_name_H-M 'C m m 2'
_symmetry_Int_Tables_number 35
_symmetry_space_group_name_Hall 'C 2 -2'
_cell_length_a 3.601
_cell_length_b 6.732
_cell_length_c 8.994
_cell_angle_alpha 90.00
_cell_angle_beta 90.00
_cell_angle_gamma 90.00
loop_
_atom_site_label
_atom_site_type_symbol
_atom_site_fract_x
_atom_site_fract_y
_atom_site_fract_z
Ca1 Ca 0.000 0.000 0.000
Be1 Be 0.000 0.500 0.264
Cl1 Cl 0.000 0.000 0.391
Cl2 Cl 0.000 0.500 0.794
```


Entry 5:
Below is a geometry-optimized ScInMo2 structure, with properties calculated at the PBE level.

Properties
Fermi-level density of states = 0.60 states/eV/atom
ΔE_f = 39.38 kJ/mol of atoms

```
data_ScInMo2
_chemical_formula_sum 'Sc3 In3 Mo6'
_symmetry_space_group_name_H-M 'R -3 m'
_symmetry_Int_Tables_number 166
_symmetry_space_group_name_Hall '-R 3 2"'
_cell_length_a 2.9911
_cell_length_b 2.9911
_cell_length_c 28.9060
_cell_angle_alpha 90.00
_cell_angle_beta 90.00
_cell_angle_gamma 120.00
loop_
_atom_site_label
_atom_site_type_symbol
_atom_site_fract_x
_atom_site_fract_y
_atom_site_fract_z
Sc1 Sc 0.0000 0.0000 0.0000
In1 In 0.0000 0.0000 0.5000
Mo1 Mo 0.0000 0.0000 0.2498
```


Entry 6:
Below is a geometry-optimized UTiSe2 structure, with properties calculated at the PBE level.

Properties
Fermi-level density of states = 1.12 states/eV/atom
raw formation energy = -948 meV/atom
offset from the most stable computed form = 0 meV per atom

```
data_UTiSe2
_chemical_formula_sum 'U3 Ti3 Se6'
_symmetry_space_group_name_H-M 'R 3 m'
_symmetry_Int_Tables_number 160
_symmetry_space_group_name_Hall 'R 3 -2"'
_cell_length_a 3.7494
_cell_length_b 3.7494
_cell_length_c 20.5203
_cell_angle_alpha 90.00
_cell_angle_beta 90.00
_cell_angle_gamma 120.00
loop_
_atom_site_label
_atom_site_type_symbol
_atom_site_fract_x
_atom_site_fract_y
_atom_site_fract_z
U1 U 0.0000 0.0000 0.0000
Ti1 Ti 0.0000 0.0000 0.8242
Se1 Se 0.0000 0.0000 0.2360
Se2 Se 0.0000 0.0000 0.4239
```